Record 1
Density functional theory data (GGA-PBEsol) for a geometry-optimized TiCl3 structure.

Properties
Its density of states at the Fermi level is 0.53 states/eV/atom. The total magnetization comes out at 1.00 μB/f.u. Its uncorrected formation energy is -1.596 eV/atom.

a b c (Å): 5.929 10.172 6.405
angles (deg): 90.00 107.36 90.00
Space group C2/m (No. 12)
Asymmetric unit:
1 Ti 0.000 0.160 0.000
2 Cl 0.236 0.000 0.238
3 Cl 0.244 0.329 0.225


Record 2
Density functional theory data (GGA-PBEsol) for a geometry-optimized ZnAg2Au structure.

Properties
Its density of states at the Fermi level is 0.22 states/eV/atom. The total magnetization comes out at 0.00 μB/f.u. The value obtained for the formation energy from the elements is -0.06 eV per atom.

a b c (Å): 5.015 2.868 9.067
angles (deg): 90.00 100.24 90.00
Space group Cm (No. 8)
Asymmetric unit:
1 Zn 0.000 0.000 0.000
2 Ag 0.000 0.500 0.502
3 Ag 0.254 0.000 0.762
4 Au 0.246 0.500 0.238


Record 3
Density functional theory data (GGA-PBEsol) for a geometry-optimized TiNb3O6 structure.

Properties
The total magnetization comes out at 0.00 μB/f.u. Its uncorrected formation energy is -2.515 eV/atom.

a b c (Å): 7.9178 7.9178 14.4322
angles (deg): 90.00 90.00 120.00
Space group R-3 (No. 148, hexagonal axes)
Asymmetric unit:
1 Ti 0.0000 0.0000 0.2273
2 Nb 0.0239 0.8043 0.4222
3 O 0.0297 0.8214 0.6733
4 O 0.0708 0.8349 0.1662


Record 4
Density functional theory data (GGA-PBEsol) for a geometry-optimized V2NiO6 structure.

Properties
The total magnetization comes out at 1.99 μB/f.u. Its uncorrected formation energy is -1.955 eV/atom.

a b c (Å): 4.737 7.047 8.678
angles (deg): 102.04 90.06 95.18
Space group P-1 (No. 2)
Asymmetric unit:
1 V 0.046 0.283 0.391
2 V 0.047 0.285 0.034
3 V 0.390 0.419 0.737
4 Ni 0.499 0.990 0.834
5 Ni 0.500 0.000 0.500
6 O 0.145 0.801 0.801
7 O 0.159 0.836 0.112
8 O 0.162 0.839 0.506
9 O 0.211 0.476 0.578
10 O 0.211 0.479 0.915
11 O 0.275 0.466 0.245
12 O 0.332 0.146 0.359
13 O 0.337 0.150 0.019
14 O 0.392 0.173 0.699


Record 5
Density functional theory data (GGA-PBEsol) for a geometry-optimized CoIr2N structure.

Properties
Its density of states at the Fermi level is 1.05 states/eV/atom. The total magnetization comes out at 1.87 μB/f.u. Its uncorrected formation energy is 0.642 eV/atom.

a b c (Å): 6.181 6.181 5.099
angles (deg): 90.00 90.00 90.00
Space group I-42d (No. 122)
Asymmetric unit:
1 Co 0.000 0.000 0.000
2 Ir 0.162 0.750 0.625
3 N 0.000 0.000 0.500


Record 6
Density functional theory data (GGA-PBEsol) for a geometry-optimized Ag2Br structure.

Properties
The total magnetization comes out at 0.00 μB/f.u. Its uncorrected formation energy is -0.087 eV/atom. The calculation puts the energy above the most stable polymorph in this dataset at 0.049 eV per atom.

a b c (Å): 12.879 3.820 6.035
angles (deg): 90.00 113.62 90.00
Space group C2/m (No. 12)
Asymmetric unit:
1 Ag 0.072 0.000 0.241
2 Ag 0.097 0.500 0.936
3 Br 0.178 0.000 0.705


Record 7
Density functional theory data (GGA-PBEsol) for a geometry-optimized Mg4ZrPb structure.

Properties
Its density of states at the Fermi level is 1.16 states/eV/atom. The total magnetization comes out at 1.88 μB/f.u. The value obtained for the formation energy from the elements is 0.19 eV per atom.

a b c (Å): 8.198 8.198 8.198
angles (deg): 90.00 90.00 90.00
Space group F-43m (No. 216)
Asymmetric unit:
1 Mg 0.124 0.124 0.124
2 Zr 0.250 0.250 0.750
3 Pb 0.000 0.000 0.500


Record 8
Density functional theory data (GGA-PBEsol) for a geometry-optimized Sc2BeTe structure.

Properties
Its density of states at the Fermi level is 1.03 states/eV/atom. The total magnetization comes out at 0.00 μB/f.u. Its uncorrected formation energy is -0.173 eV/atom. The calculation puts the energy above the most stable polymorph in this dataset at 0.357 eV per atom.

a b c (Å): 7.272 7.272 6.156
angles (deg): 90.00 90.00 90.00
Space group I-42d (No. 122)
Asymmetric unit:
1 Sc 0.219 0.250 0.125
2 Be 0.000 0.000 0.000
3 Te 0.000 0.000 0.500